AcPm2P2N6 | PBE | relaxed

Structure (POSCAR):
```
AcPm2P2N6
1.0
-2.2418 -5.0792 -0.9298
4.0712 1.9542 -3.4509
2.1836 -2.0942 6.1755
N Ac P Pm
6 1 2 2
direct
0.1715 0.8641 0.1529 N
0.2137 0.4274 0.3809 N
0.3074 0.1359 0.8471 N
0.6926 0.8641 0.1529 N
0.8285 0.1359 0.8471 N
0.7863 0.5726 0.6191 N
0.5000 0.0000 0.5000 Ac
0.9694 0.9388 0.7509 P
0.0306 0.0612 0.2491 P
0.2962 0.5924 0.8342 Pm
0.7038 0.4076 0.1658 Pm
```

- DFT total energy: -7.68 eV per atom
- N(E_F): 0.246 states/eV/atom